# 1
HoTcPbO6: relaxed, PBE.

The electronic total energy is -7.22 eV per atom. The calculation puts the uncorrected formation energy at -16.57 eV/f.u. The calculation puts the total magnetization at 0.000 μB/atom.

It has space group P312 (No. 149), with a = 5.5632 Å, b = 5.5632 Å, c = 5.1214 Å, α = 90.00°, β = 90.00° and γ = 120.00°. Symmetry generates all atoms from Ho at (0.0000, 0.0000, 0.0000), Tc at (0.3333, 0.6667, 0.0000), Pb at (0.6667, 0.3333, 0.5000) and O at (0.0602, 0.3757, 0.2128).

# 2
HoTePbO6: relaxed, PBE.

The electronic total energy is -6.25 eV per atom. The calculation puts the uncorrected formation energy at -15.06 eV/f.u. The calculation puts the total magnetization at 0.000 μB/atom.

It has space group P-31c (No. 163), with a = 5.6593 Å, b = 5.6593 Å, c = 9.6185 Å, α = 90.00°, β = 90.00° and γ = 120.00°. Symmetry generates all atoms from Ho at (0.3333, 0.6667, 0.2500), Te at (0.3333, 0.6667, 0.7500), Pb at (0.0000, 0.0000, 0.0000) and O at (0.0391, 0.3827, 0.6377).

# 3
HoTe2PbO8: relaxed, PBE.

The electronic total energy is -5.91 eV per atom. The calculation puts the uncorrected formation energy at -16.64 eV/f.u. The calculation puts the total magnetization at 0.000 μB/atom.

It has space group P-3 (No. 147), with a = 6.0591 Å, b = 6.0591 Å, c = 7.2331 Å, α = 90.00°, β = 90.00° and γ = 120.00°. Symmetry generates all atoms from Ho at (0.0000, 0.0000, 0.0000), Te at (0.3333, 0.6667, 0.2795), Pb at (0.0000, 0.0000, 0.5000), O at (0.1576, 0.8401, 0.2077) and O at (0.3333, 0.6667, 0.5324).

- Which of these has the lowest electronic total energy?
  HoTcPbO6